Entry from Alexandria: a relaxed Pm3HgF crystal (PBE).

The structure in POSCAR format:
```
Pm3HgF
1.0
-4.836 0.870 -0.814
-1.188 -3.263 3.570
0.090 3.661 3.376
Pm Hg F
3 1 1
direct
0.000 0.000 0.500
0.000 0.500 0.000
0.500 0.000 0.000
0.500 0.500 0.500
0.000 0.000 0.000
```

Calculated values
space-group type	No. 221
size of the total moment	0.00	μB per formula unit
calculated volume	24.71	A^3/atom
raw formation energy	-1.059	eV per atom